1.
A plane-wave DFT calculation with PBE was carried out for crystalline Th2Zr3Te2 at its relaxed geometry.

Values from the calculation:
E_form (uncorrected) (meV/atom): -543
Space group: C2/m
Total magnetization (μB per cell): 0.00

Cell: 4.136 6.169 8.271 Å, 110.11 90.00 109.58°
Element x y z (fractional)
Th (0.882, 0.763, 0.218)
Th (0.118, 0.237, 0.782)
Zr (0.500, 0.000, 0.000)
Zr (0.623, 0.245, 0.445)
Zr (0.377, 0.755, 0.555)
Te (0.834, 0.667, 0.783)
Te (0.166, 0.333, 0.217)

***

2.
A plane-wave DFT calculation with PBE was carried out for crystalline ThZrTe at its relaxed geometry.

Values from the calculation:
E_form (uncorrected) (meV/atom): -335
Space group: P-6m2
Total magnetization (μB per cell): 0.00

Cell: 3.728 5.052 5.052 Å, 120.00 90.00 90.00°
Element x y z (fractional)
Te (0.166, 0.000, 0.000)
Zr (0.167, 0.333, 0.667)
Th (0.667, 0.667, 0.333)

***

3.
A plane-wave DFT calculation with PBE was carried out for crystalline ThZrTe at its relaxed geometry.

Values from the calculation:
E_form (uncorrected) (meV/atom): -319
Space group: Pmm2
Total magnetization (μB per cell): 0.00

Cell: 3.727 6.986 14.234 Å, 90.00 90.00 90.00°
Element x y z (fractional)
Zr (0.000, 0.756, 0.725)
Zr (0.000, 0.244, 0.725)
Zr (0.000, 0.244, 0.225)
Zr (0.000, 0.756, 0.225)
Te (0.501, 0.500, 0.830)
Te (0.499, 0.500, 0.330)
Te (0.000, 0.000, 0.389)
Te (0.000, 0.000, 0.889)
Th (0.501, 0.500, 0.568)
Th (0.499, 0.500, 0.068)
Th (0.500, 0.000, 0.570)
Th (0.500, 0.000, 0.070)